First-principles (PBE) data for an optimized crystal structure of NdU2Mo3, as listed in OQMD via LeMat-Bulk.

a = 6.088 Å, b = 6.088 Å, c = 4.075 Å
α = 90.00°, β = 90.00°, γ = 120.00°
Element x y z (fractional)
U 0.333 0.667 0.500
Nd 0.000 0.000 0.500
Mo 0.500 0.500 0.000
Mo 0.500 0.000 0.000
Mo 0.000 0.500 0.000
U 0.667 0.333 0.500

Total energy, eV/cell: -58.52
Mass density, kg/m³: 11530
Magnetic moment, μB/f.u.: 0.00
Calculated formation energy, kJ/mol of formula units: 133